Density functional theory data (SCAN) for HIrI2O at its PBEsol-relaxed geometry.

a b c (Å): 5.124 5.124 2.889
angles (deg): 90.00 90.00 90.00
Fractional coordinates of all 5 atoms:
H (0.000, 0.000, 0.000)
Ir (0.500, 0.500, 0.500)
I (0.000, 0.500, 0.000)
I (0.500, 0.000, 0.000)
O (0.000, 0.000, 0.500)

total DFT energy (no corrections)	-149.78	eV/cell
space group	P4/mmm (123)

Density functional theory data (SCAN) for RbCoSe2N at its PBEsol-relaxed geometry.

a b c (Å): 5.704 5.704 4.872
angles (deg): 90.00 90.00 90.00
Fractional coordinates of all 5 atoms:
Rb (0.000, 0.000, 0.000)
Co (0.500, 0.500, 0.500)
Se (0.000, 0.500, 0.000)
Se (0.500, 0.000, 0.000)
N (0.000, 0.000, 0.500)

total DFT energy (no corrections)	-77.59	eV/cell
space group	P4/mmm (123)
E_form (uncorrected)	9.9	eV per formula unit

Density functional theory data (SCAN) for ZrTiHg2 at its PBEsol-relaxed geometry.

a b c (Å): 6.781 6.781 6.781
angles (deg): 90.00 90.00 90.00
Fractional coordinates of all 16 atoms:
Zr (0.000, 0.000, 0.000)
Zr (0.000, 0.500, 0.500)
Zr (0.500, 0.000, 0.500)
Zr (0.500, 0.500, 0.000)
Ti (0.000, 0.000, 0.500)
Ti (0.000, 0.500, 0.000)
Ti (0.500, 0.000, 0.000)
Ti (0.500, 0.500, 0.500)
Hg (0.250, 0.250, 0.250)
Hg (0.250, 0.250, 0.750)
Hg (0.250, 0.750, 0.250)
Hg (0.250, 0.750, 0.750)
Hg (0.750, 0.250, 0.250)
Hg (0.750, 0.250, 0.750)
Hg (0.750, 0.750, 0.250)
Hg (0.750, 0.750, 0.750)

total DFT energy (no corrections)	-735.88	eV/cell
formation energy	-0.228	eV/atom
space group	Fm-3m (225)

Density functional theory data (SCAN) for PbC at its PBEsol-relaxed geometry.

a b c (Å): 2.761 3.527 14.671
angles (deg): 90.00 90.00 90.00
Fractional coordinates of all 8 atoms:
Pb (0.000, 0.250, 0.101)
Pb (0.000, 0.750, 0.899)
Pb (0.500, 0.250, 0.399)
Pb (0.500, 0.750, 0.601)
C (0.000, 0.250, 0.766)
C (0.000, 0.750, 0.234)
C (0.500, 0.250, 0.734)
C (0.500, 0.750, 0.266)

total DFT energy (no corrections)	-336.12	eV/cell
formation energy	0.925	eV/atom
space group	Imma (74)

Density functional theory data (SCAN) for MgPb2W at its PBEsol-relaxed geometry.

a b c (Å): 3.977 5.008 8.542
angles (deg): 90.00 90.00 90.00
Fractional coordinates of all 8 atoms:
Mg (0.000, 0.000, 0.000)
Mg (0.500, 0.500, 0.500)
Pb (0.000, 0.500, 0.250)
Pb (0.000, 0.500, 0.750)
Pb (0.500, 0.000, 0.250)
Pb (0.500, 0.000, 0.750)
W (0.000, 0.000, 0.500)
W (0.500, 0.500, 0.000)

total DFT energy (no corrections)	-446.49	eV/cell
formation energy	0.745	eV/atom
space group	Immm (71)

Density functional theory data (SCAN) for LiAu2Se at its PBEsol-relaxed geometry.

a b c (Å): 5.473 10.288 2.904
angles (deg): 90.00 121.53 90.00
Fractional coordinates of all 8 atoms:
Li (0.000, 0.000, 0.000)
Li (0.500, 0.500, 0.000)
Au (0.250, 0.250, 0.000)
Au (0.250, 0.750, 0.000)
Au (0.750, 0.250, 0.000)
Au (0.750, 0.750, 0.000)
Se (0.000, 0.500, 0.000)
Se (0.500, 0.000, 0.000)

total DFT energy (no corrections)	-323.83	eV/cell
space group	C2/m (12)
E_form (uncorrected)	-1.1	eV per formula unit

Density functional theory data (SCAN) for BeTcTe2 at its PBEsol-relaxed geometry.

a b c (Å): 5.866 5.866 10.948
angles (deg): 90.00 90.00 90.00
Fractional coordinates of all 16 atoms:
Be (0.000, 0.000, 0.000)
Be (0.000, 0.500, 0.250)
Be (0.500, 0.000, 0.750)
Be (0.500, 0.500, 0.500)
Tc (0.000, 0.000, 0.500)
Tc (0.000, 0.500, 0.750)
Tc (0.500, 0.000, 0.250)
Tc (0.500, 0.500, 0.000)
Te (0.228, 0.250, 0.125)
Te (0.250, 0.728, 0.375)
Te (0.250, 0.772, 0.875)
Te (0.272, 0.250, 0.625)
Te (0.728, 0.750, 0.625)
Te (0.750, 0.228, 0.875)
Te (0.750, 0.272, 0.375)
Te (0.772, 0.750, 0.125)

total DFT energy (no corrections)	-451.68	eV/cell
space group	I-42d (122)
E_form (uncorrected)	1.0	eV per formula unit

Density functional theory data (SCAN) for AlIn2BW at its PBEsol-relaxed geometry.

a b c (Å): 5.196 5.196 4.874
angles (deg): 90.00 90.00 90.00
Fractional coordinates of all 5 atoms:
Al (0.000, 0.000, 0.000)
In (0.000, 0.500, 0.500)
In (0.500, 0.000, 0.500)
B (0.500, 0.500, 0.000)
W (0.000, 0.000, 0.500)

total DFT energy (no corrections)	-143.50	eV/cell
formation energy	1.629	eV/atom
space group	P4/mmm (123)